An optimized crystal structure of K2Li2HgF6. Source: the Alexandria database, functional PBE-GGA.

Lattice parameters (Å, degrees): 6.0704 6.0704 6.9336 64.04 64.04 60.00
Fractional coordinates of all 11 atoms:
K1 0.7943 0.7943 0.6171
Hg1 0.0000 0.0000 0.0000
F1 0.2518 0.7607 0.7356
F2 0.7482 0.7482 0.2644
F3 0.2393 0.7482 0.2644
K2 0.2057 0.2057 0.3829
F4 0.2518 0.2518 0.7356
Li1 0.4186 0.4186 0.7442
Li2 0.5814 0.5814 0.2558
F5 0.7482 0.2393 0.2644
F6 0.7607 0.2518 0.7356

Calculated values
formation energy (no corrections)	-2.406	eV per atom

=====

An optimized crystal structure of K2Li3HgF8. Source: the Alexandria database, functional PBE-GGA.

Lattice parameters (Å, degrees): 6.4103 6.4103 7.2777 63.87 63.87 60.00
Each line ends with the local moment (μB).
Fractional coordinates of all 14 atoms:
F1 0.3328 0.7350 0.1973  0.13
K1 0.1282 0.1282 0.6153  0.00
Hg1 0.9494 0.9494 0.1518  0.18
F2 0.2574 0.2574 0.2277  0.00
Li1 0.0183 0.4584 0.0649  0.00
F3 0.2072 0.6933 0.8922  0.06
F4 0.2072 0.2072 0.8922  0.06
F5 0.8322 0.8322 0.5033  0.25
F6 0.7350 0.7350 0.1973  0.13
F7 0.7350 0.3328 0.1973  0.13
Li2 0.4584 0.4584 0.0649  0.00
K2 0.4798 0.4798 0.5606  0.00
F8 0.6933 0.2072 0.8922  0.06
Li3 0.4584 0.0183 0.0649  0.00

Calculated values
formation energy (no corrections)	-2.308	eV per atom

=====

An optimized crystal structure of KLi2HgF6. Source: the Alexandria database, functional PBE-GGA.

Lattice parameters (Å, degrees): 6.3492 7.4431 7.4431 93.27 78.12 78.12
Each line ends with the local moment (μB).
Fractional coordinates of all 20 atoms:
F1 0.6933 0.7556 0.9914  0.10
F2 0.3171 0.2751 0.3935  0.10
F3 0.1829 0.6065 0.7249  0.10
F4 0.0939 0.6310 0.2137  0.16
Li1 0.1366 0.3726 0.2337  0.00
Li2 0.3634 0.7663 0.6274  0.00
F5 0.8067 0.0086 0.2444  0.10
F6 0.3067 0.2444 0.0086  0.10
F7 0.8171 0.3935 0.2751  0.10
F8 0.1933 0.9914 0.7556  0.10
K1 0.7500 0.0922 0.9078  0.00
F9 0.5939 0.2137 0.6310  0.16
F10 0.4061 0.7863 0.3690  0.16
Hg1 0.7500 0.7146 0.2854  0.27
Li3 0.6366 0.2337 0.3726  0.00
F11 0.9061 0.3690 0.7863  0.16
Hg2 0.2500 0.2854 0.7146  0.27
F12 0.6829 0.7249 0.6065  0.10
Li4 0.8634 0.6274 0.7663  0.00
K2 0.2500 0.9078 0.0922  0.00

Calculated values
formation energy (no corrections)	-2.172	eV per atom

=====

An optimized crystal structure of K3Li2HgF8. Source: the Alexandria database, functional PBE-GGA.

Lattice parameters (Å, degrees): 6.0039 6.0039 7.6266 90.00 90.00 120.00
Each line ends with the local moment (μB).
Fractional coordinates of all 14 atoms:
Li1 0.6667 0.3333 0.7912  0.00
F1 0.3333 0.6667 0.9748  0.17
K1 0.3333 0.6667 0.6496  0.00
F2 0.8296 0.1704 0.6798  0.08
F3 0.1704 0.8296 0.3202  0.08
Hg1 0.0000 0.0000 0.5000  0.20
K2 0.0000 0.0000 0.0000  0.00
F4 0.3409 0.1704 0.6798  0.08
Li2 0.3333 0.6667 0.2088  0.00
K3 0.6667 0.3333 0.3504  0.00
F5 0.6667 0.3333 0.0252  0.17
F6 0.8296 0.6591 0.6798  0.08
F7 0.1704 0.3409 0.3202  0.08
F8 0.6591 0.8296 0.3202  0.08

Calculated values
formation energy (no corrections)	-2.321	eV per atom

=====

An optimized crystal structure of K2LiHg3F12. Source: the Alexandria database, functional PBE-GGA.

Lattice parameters (Å, degrees): 7.5597 7.5597 7.5597 65.72 65.72 65.72
Fractional coordinates of all 18 atoms:
F1 0.0462 0.6599 0.6599
K1 0.3375 0.3375 0.3375
F2 0.6599 0.0462 0.6599
F3 0.3401 0.3401 0.9538
F4 0.9314 0.9314 0.3036
Hg1 0.0000 0.5000 0.0000
F5 0.6599 0.6599 0.0462
Hg2 0.5000 0.0000 0.0000
F6 0.3036 0.9314 0.9314
F7 0.0686 0.0686 0.6964
F8 0.3401 0.9538 0.3401
K2 0.6625 0.6625 0.6625
Hg3 0.0000 0.0000 0.5000
F9 0.6964 0.0686 0.0686
F10 0.0686 0.6964 0.0686
Li1 0.0000 0.0000 0.0000
F11 0.9538 0.3401 0.3401
F12 0.9314 0.3036 0.9314

Calculated values
formation energy (no corrections)	-1.689	eV per atom

=====

An optimized crystal structure of K2LiHgF6. Source: the Alexandria database, functional PBE-GGA.

Lattice parameters (Å, degrees): 6.0213 5.9913 8.5337 90.00 89.88 90.00
Each line ends with the local moment (μB).
Fractional coordinates of all 20 atoms:
F1 0.2875 0.7299 0.0228  0.12
K1 0.0020 0.9819 0.2510  0.00
K2 0.9980 0.0181 0.7490  0.00
Li1 0.0000 0.5000 0.5000  0.00
K3 0.5020 0.5181 0.7510  0.00
F2 0.7125 0.2701 0.9772  0.12
F3 0.9570 0.5045 0.2587  0.12
F4 0.2285 0.2131 0.0217  0.12
F5 0.7285 0.2869 0.5217  0.12
Hg1 0.5000 0.0000 0.5000  0.26
Li2 0.5000 0.0000 0.0000  0.00
F6 0.7875 0.7701 0.5228  0.12
F7 0.2125 0.2299 0.4772  0.12
K4 0.4980 0.4819 0.2490  0.00
F8 0.7715 0.7869 0.9783  0.12
F9 0.2715 0.7131 0.4783  0.12
F10 0.0430 0.4955 0.7413  0.12
F11 0.4570 0.9955 0.7587  0.12
Hg2 0.0000 0.5000 0.0000  0.26
F12 0.5430 0.0045 0.2413  0.12

Calculated values
formation energy (no corrections)	-2.182	eV per atom

=====

An optimized crystal structure of K3Li2HgF9. Source: the Alexandria database, functional PBE-GGA.

Lattice parameters (Å, degrees): 5.8782 5.8782 7.4131 90.00 90.00 120.00
Each line ends with the local moment (μB).
Fractional coordinates of all 15 atoms:
Li1 0.3333 0.6667 0.1309  0.00
F1 0.5000 0.0000 0.0000  0.14
K1 0.3333 0.6667 0.7042  0.00
F2 0.8304 0.1696 0.6728  0.19
F3 0.0000 0.5000 0.0000  0.14
K2 0.0000 0.0000 0.0000  0.00
Li2 0.6667 0.3333 0.8691  0.00
F4 0.3392 0.1696 0.6728  0.19
F5 0.5000 0.5000 0.0000  0.14
F6 0.1696 0.8304 0.3272  0.19
K3 0.6667 0.3333 0.2958  0.00
F7 0.1696 0.3392 0.3272  0.19
F8 0.8304 0.6608 0.6728  0.19
Hg1 0.0000 0.0000 0.5000  0.41
F9 0.6608 0.8304 0.3272  0.19

Calculated values
formation energy (no corrections)	-2.220	eV per atom

=====

An optimized crystal structure of K2LiHgF. Source: the Alexandria database, functional PBE-GGA.

Lattice parameters (Å, degrees): 6.3152 6.3152 3.7526 90.00 90.00 90.00
Fractional coordinates of all 5 atoms:
K1 0.5000 0.0000 0.0000
K2 0.0000 0.5000 0.0000
F1 0.0000 0.0000 0.0000
Hg1 0.5000 0.5000 0.5000
Li1 0.0000 0.0000 0.5000

Calculated values
formation energy (no corrections)	-1.091	eV per atom

=====

An optimized crystal structure of KLiHgF4. Source: the Alexandria database, functional PBE-GGA.

Lattice parameters (Å, degrees): 5.7219 5.7234 7.2618 90.00 108.64 90.00
Fractional coordinates of all 14 atoms:
F1 0.5328 0.2500 0.4282
F2 0.5571 0.2500 0.8363
Hg1 0.2132 0.2500 0.5522
Li1 0.7542 0.2500 0.6771
K1 0.2848 0.2500 0.0658
F3 0.9899 0.0107 0.7109
Li2 0.2458 0.7500 0.3229
F4 0.4429 0.7500 0.1637
Hg2 0.7868 0.7500 0.4478
F5 0.4672 0.7500 0.5718
K2 0.7152 0.7500 0.9342
F6 0.9899 0.4893 0.7109
F7 0.0101 0.5107 0.2891
F8 0.0101 0.9893 0.2891

Calculated values
formation energy (no corrections)	-2.225	eV per atom

=====

An optimized crystal structure of KLi2HgF8. Source: the Alexandria database, functional PBE-GGA.

Lattice parameters (Å, degrees): 4.8832 4.7121 7.8594 83.88 88.53 88.50
Each line ends with the local moment (μB).
Fractional coordinates of all 12 atoms:
Li1 0.5115 0.5255 0.8054  0.00
K1 0.0000 0.0000 0.5000  0.00
F1 0.5385 0.6674 0.5602  0.49
F2 0.4615 0.3326 0.4398  0.49
Li2 0.4885 0.4745 0.1946  0.00
Hg1 0.0000 0.0000 0.0000  0.48
F3 0.3313 0.2831 0.0011  0.20
F4 0.1770 0.7434 0.2134  0.23
F5 0.6687 0.7170 0.9989  0.20
F6 0.8036 0.2026 0.2006  0.21
F7 0.8230 0.2566 0.7866  0.23
F8 0.1964 0.7974 0.7994  0.21

Calculated values
formation energy (no corrections)	-1.811	eV per atom

=====

An optimized crystal structure of KLi3Hg4F12. Source: the Alexandria database, functional PBE-GGA.

Lattice parameters (Å, degrees): 7.3228 7.3228 7.3228 109.47 109.47 109.47
Fractional coordinates of all 20 atoms:
F1 0.6748 0.8401 0.5149
F2 0.8347 0.6748 0.1599
F3 0.8401 0.1653 0.3252
F4 0.1599 0.4851 0.3252
F5 0.1599 0.8347 0.6748
Hg1 0.5000 0.0000 0.0000
F6 0.3252 0.1599 0.4851
F7 0.5149 0.6748 0.8401
Li1 0.5000 0.0000 0.5000
K1 0.0000 0.0000 0.0000
Hg2 0.5000 0.5000 0.5000
Li2 0.0000 0.5000 0.5000
Hg3 0.0000 0.5000 0.0000
F8 0.8401 0.5149 0.6748
Li3 0.5000 0.5000 0.0000
F9 0.1653 0.3252 0.8401
F10 0.6748 0.1599 0.8347
Hg4 0.0000 0.0000 0.5000
F11 0.3252 0.8401 0.1653
F12 0.4851 0.3252 0.1599

Calculated values
formation energy (no corrections)	-1.975	eV per atom

=====

An optimized crystal structure of KLiHg2F6. Source: the Alexandria database, functional PBE-GGA.

Lattice parameters (Å, degrees): 5.9921 5.9913 6.2572 61.37 61.35 59.97
Fractional coordinates of all 10 atoms:
F1 0.5909 0.2443 0.2276
F2 0.9377 0.5905 0.2279
Li1 0.3228 0.3233 0.0305
F3 0.1717 0.3635 0.7667
F4 0.2440 0.9374 0.2277
F5 0.6981 0.1714 0.7669
K1 0.7931 0.7931 0.6207
F6 0.3634 0.6984 0.7663
Hg1 0.0134 0.0135 0.9597
Hg2 0.5264 0.5263 0.4212

Calculated values
formation energy (no corrections)	-1.974	eV per atom

=====

- Number 10 is which compound?
  KLi2HgF8